1.
The following is a GGA-PBE calculation of crystalline DyEr2Mg4 at its relaxed geometry, from the Alexandria database.

Values from the calculation:
Distance to the lowest polymorph of the same formula (eV/atom): 0.0000
Total DFT energy (no corrections) (eV per formula unit): -19.1
Formation enthalpy at 0 K (meV per atom): 150
Density (g cm⁻³): 4.79
Total magnetic moment (μB per formula unit): 0.25
D(E_F) (states/eV per atom): 0.91

Unit cell a=5.365 b=5.365 c=14.320 alpha=90.00 beta=90.00 gamma=90.00
Space group I4/mmm (No. 139)
Asymmetric unit:
Dy: 0.000 0.000 0.000 [2 per cell]
Er: 0.000 0.000 0.249 [4 per cell]
Mg: 0.000 0.500 0.118 [8 per cell]



2.
The following is a GGA-PBE calculation of crystalline Dy6Er4Mg at its relaxed geometry, from the Alexandria database.

Values from the calculation:
Total DFT energy (no corrections) (eV per formula unit): -44.4
Formation enthalpy at 0 K (meV per atom): 283
Density (g cm⁻³): 7.86
Total magnetic moment (μB per formula unit): 0.00
D(E_F) (states/eV per atom): 1.19

Unit cell a=6.446 b=6.446 c=16.956 alpha=90.00 beta=90.00 gamma=90.00
Space group I-42m (No. 121)
Asymmetric unit:
Dy: 0.000 0.500 0.000 [4 per cell]
Dy: 0.183 0.183 0.171 [8 per cell]
Er: 0.176 0.176 0.366 [8 per cell]
Mg: 0.000 0.000 0.000 [2 per cell]



3.
The following is a GGA-PBE calculation of crystalline Dy2Er6Mg at its relaxed geometry, from the Alexandria database.

Values from the calculation:
Distance to the lowest polymorph of the same formula (eV/atom): 0.0398
Total DFT energy (no corrections) (eV per formula unit): -37.6
Formation enthalpy at 0 K (meV per atom): 66
Density (g cm⁻³): 8.15
Total magnetic moment (μB per formula unit): 1.13
D(E_F) (states/eV per atom): 1.71

Unit cell a=3.5179 b=3.5179 c=25.7257 alpha=90.00 beta=90.00 gamma=120.00
Space group P-6m2 (No. 187)
Asymmetric unit:
Dy: 0.0000 0.0000 0.1737 [2 per cell]
Er: 0.0000 0.0000 0.3936 [2 per cell]
Er: 0.6667 0.3333 0.0653 [2 per cell]
Er: 0.6667 0.3333 0.2850 [2 per cell]
Mg: 0.6667 0.3333 0.5000 [1 per cell]



4.
The following is a GGA-PBE calculation of crystalline Dy2Er2Mg3 at its relaxed geometry, from the Alexandria database.

Values from the calculation:
Distance to the lowest polymorph of the same formula (eV/atom): 0.1642
Total DFT energy (no corrections) (eV per formula unit): -21.7
Formation enthalpy at 0 K (meV per atom): 208
Density (g cm⁻³): 5.88
Total magnetic moment (μB per formula unit): 0.00
D(E_F) (states/eV per atom): 1.51

Unit cell a=9.387 b=9.387 c=9.387 alpha=90.00 beta=90.00 gamma=90.00
Space group I2_13 (No. 199)
Asymmetric unit:
Dy: 0.083 0.417 0.583 [8 per cell]
Er: 0.179 0.179 0.179 [8 per cell]
Mg: 0.000 0.250 0.887 [12 per cell]